Density functional theory data (PBE) for a geometry-optimized Cs2HfGeI6 structure.

Lattice parameters (Å, degrees): 8.8414 8.8414 8.8414 122.91 122.91 85.03
Fractional coordinates of all 10 atoms:
Cs 0.2500 0.7500 0.5000
Cs 0.7500 0.2500 0.5000
Hf 0.0000 0.0000 0.0000
Ge 0.5000 0.5000 0.0000
I 0.2218 0.2218 0.0000
I 0.2428 0.2428 0.4856
I 0.2428 0.7572 0.0000
I 0.7572 0.2428 0.0000
I 0.7572 0.7572 0.5144
I 0.7782 0.7782 0.0000

mass density: 4.56 g cm⁻³
volume: 46.5 Å³ per atom
total moment: 2.00 μB per cell
E_form (uncorrected): -806 meV/atom
D(E_F): 3.550 states/eV/cell
symmetry: No. 139
final energy: -33.64 eV per cell